# Sr2TcMo

A relaxed structure of Sr2TcMo (PBE-GGA, Alexandria).

Structure (POSCAR):
```
Sr2TcMo
1.0
-10.980 -3.645 2.189
2.407 -0.332 11.521
-4.966 0.178 7.059
Sr Mo Tc
4 2 2
direct
0.800 0.125 0.250
0.950 0.625 0.250
0.375 0.200 0.750
0.875 0.050 0.750
0.500 0.500 0.000
0.250 0.750 0.500
0.000 0.000 0.000
0.750 0.250 0.500
```

Computed properties:
Offset from the most stable computed form = 658 meV per atom
Energy relative to the elements = 1035 meV/atom